[1]
A relaxed MnCrTe2 crystal, computed with PBE-GGA.

Cell: 8.7331 8.7331 8.7331 Å, 26.82 26.82 26.82°
Site moments in Bohr magnetons follow the coordinates.
Positions (direct):
Cr 0.0000 0.0000 0.0000  4.12
Te 0.8942 0.8942 0.8942  -0.08
Te 0.1058 0.1058 0.1058  -0.08
Mn 0.5000 0.5000 0.5000  3.91

Computed properties:
Magnetic moment (μB/f.u.): 9.00
Formation energy (no corrections) (eV per atom): 0.270



[2]
A relaxed La2NiSeN crystal, computed with PBE-GGA.

Cell: 5.1985 5.1985 3.7196 Å, 90.00 90.00 90.00°
Positions (direct):
Ni 0.0000 0.0000 0.5000
La 0.0000 0.5000 0.0000
La 0.5000 0.0000 0.0000
N 0.0000 0.0000 0.0000
Se 0.5000 0.5000 0.5000

Computed properties:
Magnetic moment (μB/f.u.): 0.00
Formation energy (no corrections) (eV per atom): -1.210



[3]
A relaxed LiMoBr crystal, computed with PBE-GGA.

Cell: 7.0709 6.7773 3.0422 Å, 82.77 71.96 25.27°
Positions (direct):
Mo 0.3382 0.3382 0.6618
Li 0.6631 0.6631 0.3369
Br 0.9986 0.9986 0.0014

Computed properties:
Magnetic moment (μB/f.u.): 0.00
Formation energy (no corrections) (eV per atom): 0.463
Energy above the most stable polymorph in this dataset (meV/atom): 141



[4]
A relaxed Sr5Ga2Hg2 crystal, computed with PBE-GGA.

Cell: 8.3441 8.5784 9.7315 Å, 90.00 64.61 90.00°
Positions (direct):
Ga 0.6039 0.1080 0.0000
Ga 0.1039 0.3920 0.0000
Ga 0.3961 0.8920 0.0000
Ga 0.8961 0.6080 0.0000
Sr 0.5384 0.8251 0.2733
Sr 0.1883 0.1749 0.2733
Sr 0.4616 0.1749 0.7267
Sr 0.8117 0.8251 0.7267
Sr 0.0384 0.6749 0.2733
Sr 0.3117 0.6749 0.7267
Sr 0.6883 0.3251 0.2733
Sr 0.9616 0.3251 0.7267
Sr 0.0000 0.0000 0.0000
Sr 0.5000 0.5000 0.0000
Hg 0.2943 0.5000 0.4114
Hg 0.7943 0.0000 0.4114
Hg 0.2057 0.0000 0.5886
Hg 0.7057 0.5000 0.5886

Computed properties:
Magnetic moment (μB/f.u.): 0.00
Energy of formation (eV/f.u.): -3.55



[5]
A relaxed AlAgS2N crystal, computed with PBE-GGA.

Cell: 4.9687 4.9687 3.9368 Å, 90.00 90.00 90.00°
Site moments in Bohr magnetons follow the coordinates.
Positions (direct):
S 0.0000 0.5000 0.0000  0.07
S 0.5000 0.0000 0.0000  0.07
Al 0.5000 0.5000 0.5000  0.00
N 0.0000 0.0000 0.5000  1.06
Ag 0.0000 0.0000 0.0000  0.11

Computed properties:
Magnetic moment (μB/f.u.): 1.80
Formation energy (no corrections) (eV per atom): 1.159
Energy above the most stable polymorph in this dataset (meV/atom): 753



[6]
A relaxed AlInBi2Rh crystal, computed with PBE-GGA.

Cell: 5.3505 5.1069 5.3505 Å, 90.00 90.00 90.00°
Positions (direct):
Rh 0.0000 0.0000 0.0000
Al 0.5000 0.5000 0.5000
Bi 0.5000 0.0000 0.0000
Bi 0.0000 0.0000 0.5000
In 0.0000 0.5000 0.0000

Computed properties:
Magnetic moment (μB/f.u.): 0.00
Energy of formation (eV/f.u.): 1.50



[7]
A relaxed RbCaIn4 crystal, computed with PBE-GGA.

Cell: 6.3580 6.3580 6.3580 Å, 60.00 60.00 60.00°
Positions (direct):
In 0.6254 0.6254 0.1239
In 0.6254 0.1239 0.6254
In 0.6254 0.6254 0.6254
In 0.1239 0.6254 0.6254
Rb 0.2500 0.2500 0.2500
Ca 0.0000 0.0000 0.0000

Computed properties:
Magnetic moment (μB/f.u.): 0.00
Energy of formation (eV/f.u.): -1.20



[8]
A relaxed Cr2OsPb crystal, computed with PBE-GGA.

Cell: 2.9963 2.9963 7.7422 Å, 90.00 90.00 90.02°
Site moments in Bohr magnetons follow the coordinates.
Positions (direct):
Os 0.5000 0.5000 0.2500  -0.46
Cr 0.0000 0.0000 0.0497  2.75
Cr 0.0000 0.0000 0.4503  2.75
Pb 0.5000 0.5000 0.7500  -0.04

Computed properties:
Magnetic moment (μB/f.u.): 5.46
Energy of formation (eV/f.u.): 2.10



[9]
A relaxed SrPmCdGe crystal, computed with PBE-GGA.

Cell: 5.4090 5.4090 5.4090 Å, 60.00 60.00 60.00°
Positions (direct):
Ge 0.2500 0.2500 0.2500
Cd 0.7500 0.7500 0.7500
Sr 0.5000 0.5000 0.5000
Pm 0.0000 0.0000 0.0000

Computed properties:
Magnetic moment (μB/f.u.): 0.00
Energy of formation (eV/f.u.): -1.59



[10]
A relaxed PmNdTcHg crystal, computed with PBE-GGA.

Cell: 5.1815 5.1815 5.1815 Å, 60.00 60.00 60.00°
Positions (direct):
Nd 0.0000 0.0000 0.0000
Tc 0.2500 0.2500 0.2500
Hg 0.7500 0.7500 0.7500
Pm 0.5000 0.5000 0.5000

Computed properties:
Magnetic moment (μB/f.u.): 0.00
Energy of formation (eV/f.u.): -0.20



[11]
A relaxed ZrSb2Pt crystal, computed with PBE-GGA.

Cell: 3.2758 3.2758 8.7851 Å, 90.00 90.00 89.99°
Positions (direct):
Zr 0.0000 0.0000 0.5408
Sb 0.5000 0.5000 0.2923
Sb 0.0000 0.0000 0.9306
Pt 0.5000 0.5000 0.7362

Computed properties:
Magnetic moment (μB/f.u.): 0.00
Formation energy (no corrections) (eV per atom): -0.448



[12]
A relaxed RbCdCoSn2 crystal, computed with PBE-GGA.

Cell: 5.0133 5.0133 5.2720 Å, 90.00 90.00 90.00°
Positions (direct):
Rb 0.5000 0.5000 0.5000
Co 0.0000 0.0000 0.0000
Sn 0.0000 0.5000 0.0000
Sn 0.5000 0.0000 0.0000
Cd 0.0000 0.0000 0.5000

Computed properties:
Magnetic moment (μB/f.u.): 0.01
Energy above the most stable polymorph in this dataset (meV/atom): 0
Energy of formation (eV/f.u.): 0.12



[13]
A relaxed HoErFe10 crystal, computed with PBE-GGA.

Cell: 3.9439 4.9775 8.5848 Å, 90.00 90.00 90.00°
Site moments in Bohr magnetons follow the coordinates.
Positions (direct):
Fe 0.5000 0.2503 0.7495  2.01
Fe 0.5000 0.0000 0.5000  1.95
Fe 0.0000 0.5000 0.8332  2.07
Fe 0.0000 0.0000 0.3341  2.07
Fe 0.0000 0.0000 0.6659  2.07
Fe 0.5000 0.5000 0.0000  1.98
Fe 0.5000 0.7497 0.7495  2.01
Fe 0.5000 0.7497 0.2505  2.01
Fe 0.5000 0.2503 0.2505  2.01
Fe 0.0000 0.5000 0.1668  2.07
Er 0.0000 0.5000 0.5000  -0.42
Ho 0.0000 0.0000 0.0000  -0.41

Computed properties:
Magnetic moment (μB/f.u.): 19.19
Energy of formation (eV/f.u.): -0.73



[14]
A relaxed LaCe2As2Rh7 crystal, computed with PBE-GGA.

Cell: 4.1276 4.1276 13.2883 Å, 82.02 82.02 89.37°
Site moments in Bohr magnetons follow the coordinates.
Positions (direct):
Rh 0.5746 0.0739 0.8310  0.00
Rh 0.9261 0.4254 0.1690  0.00
Rh 0.0739 0.5746 0.8310  0.00
Rh 0.4254 0.9261 0.1690  0.00
Rh 0.3009 0.3009 0.4591  0.03
Rh 0.5000 0.5000 0.0000  0.01
Rh 0.6991 0.6991 0.5409  0.03
Ce 0.1455 0.1455 0.6513  -0.15
Ce 0.8545 0.8545 0.3487  -0.15
As 0.3832 0.3832 0.2677  0.00
As 0.6168 0.6168 0.7323  0.00
La 0.0000 0.0000 0.0000  0.00

Computed properties:
Magnetic moment (μB/f.u.): 0.27
Energy of formation (eV/f.u.): -8.57



[15]
A relaxed P2OsW crystal, computed with PBE-GGA.

Cell: 4.4714 4.4714 4.4669 Å, 75.38 75.38 39.90°
Positions (direct):
P 0.9947 0.9947 0.0365
P 0.7561 0.7561 0.7103
Os 0.2526 0.2526 0.1710
W 0.4966 0.4966 0.5822

Computed properties:
Magnetic moment (μB/f.u.): 0.00
Energy above the most stable polymorph in this dataset (meV/atom): 67
Energy of formation (eV/f.u.): -0.39



[16]
A relaxed Sc2TaTc2 crystal, computed with PBE-GGA.

Cell: 6.5842 6.5842 4.4277 Å, 90.00 90.00 90.00°
Positions (direct):
Sc 0.8250 0.3250 0.5000
Sc 0.6750 0.8250 0.5000
Sc 0.3250 0.1750 0.5000
Sc 0.1750 0.6750 0.5000
Tc 0.3675 0.8675 0.0000
Tc 0.8675 0.6325 0.0000
Tc 0.6325 0.1325 0.0000
Tc 0.1325 0.3675 0.0000
Ta 0.0000 0.0000 0.0000
Ta 0.5000 0.5000 0.0000

Computed properties:
Magnetic moment (μB/f.u.): 0.00
Energy of formation (eV/f.u.): -0.30



[17]
A relaxed ScCrRh2 crystal, computed with PBE-GGA.

Cell: 8.8299 8.8299 8.8299 Å, 18.52 18.52 18.52°
Site moments in Bohr magnetons follow the coordinates.
Positions (direct):
Sc 0.4990 0.4990 0.4990  0.00
Rh 0.0064 0.0064 0.0064  0.03
Rh 0.2490 0.2490 0.2490  0.31
Cr 0.7455 0.7455 0.7455  -0.03

Computed properties:
Magnetic moment (μB/f.u.): 0.31
Energy of formation (eV/f.u.): 0.23



[18]
A relaxed RbO2 crystal, computed with PBE-GGA.

Cell: 7.5993 7.5993 7.5993 Å, 134.24 134.24 66.71°
Site moments in Bohr magnetons follow the coordinates.
Positions (direct):
O 0.2182 0.2182 0.0000  1.14
O 0.5318 0.0318 0.5000  1.14
O 0.7818 0.7818 0.0000  1.14
O 0.9682 0.4682 0.5000  1.14
Rb 0.7500 0.2500 0.5000  0.02
Rb 0.0000 0.0000 0.0000  0.02

Computed properties:
Magnetic moment (μB/f.u.): 3.00
Formation energy (no corrections) (eV per atom): 0.484
Energy above the most stable polymorph in this dataset (meV/atom): 1338



[19]
A relaxed MnV3Br crystal, computed with PBE-GGA.

Cell: 4.4867 4.4867 4.4867 Å, 90.00 90.00 90.00°
Site moments in Bohr magnetons follow the coordinates.
Positions (direct):
V 0.0000 0.5000 0.0000  0.84
V 0.0000 0.0000 0.5000  0.84
V 0.5000 0.0000 0.0000  0.84
Mn 0.5000 0.5000 0.5000  4.00
Br 0.0000 0.0000 0.0000  0.03

Computed properties:
Magnetic moment (μB/f.u.): 6.95
Formation energy (no corrections) (eV per atom): 1.173
Energy above the most stable polymorph in this dataset (meV/atom): 210



[20]
A relaxed TmCoRu crystal, computed with PBE-GGA.

Cell: 5.1728 5.1728 5.1728 Å, 89.20 120.80 120.12°
Site moments in Bohr magnetons follow the coordinates.
Positions (direct):
Ru 0.5000 0.0000 0.5000  0.15
Ru 0.0000 0.5000 0.5000  0.15
Co 0.5000 0.5000 0.5000  0.80
Co 0.0000 0.5000 0.0000  0.80
Tm 0.2500 0.1244 0.8744  -0.15
Tm 0.7500 0.8756 0.1256  -0.15

Computed properties:
Magnetic moment (μB/f.u.): 0.79
Energy above the most stable polymorph in this dataset (meV/atom): 0
Energy of formation (eV/f.u.): -0.94



[21]
A relaxed LiReTc2 crystal, computed with PBE-GGA.

Cell: 4.9854 4.9854 4.9854 Å, 144.27 128.10 64.60°
Positions (direct):
Tc 0.5071 0.5071 0.0000
Tc 0.9929 0.9929 0.0000
Re 0.7500 0.2500 0.5000
Li 0.2500 0.7500 0.5000

Computed properties:
Magnetic moment (μB/f.u.): 0.00
Energy above the most stable polymorph in this dataset (meV/atom): 98
Energy of formation (eV/f.u.): 0.92



[22]
A relaxed Ga2ReIF crystal, computed with PBE-GGA.

Cell: 5.4731 4.0549 5.4731 Å, 90.00 90.00 90.00°
Site moments in Bohr magnetons follow the coordinates.
Positions (direct):
I 0.5000 0.5000 0.5000  0.07
Re 0.0000 0.5000 0.0000  2.49
Ga 0.5000 0.0000 0.0000  -0.03
Ga 0.0000 0.0000 0.5000  0.00
F 0.0000 0.0000 0.0000  0.09

Computed properties:
Magnetic moment (μB/f.u.): 3.00
Formation energy (no corrections) (eV per atom): 0.511



[23]
A relaxed TlNiW crystal, computed with PBE-GGA.

Cell: 6.1216 6.1215 2.9396 Å, 76.11 76.11 27.79°
Positions (direct):
W 0.6440 0.6440 0.3560
Ni 0.0141 0.0141 0.9859
Tl 0.3420 0.3420 0.6580

Computed properties:
Magnetic moment (μB/f.u.): 0.00
Energy above the most stable polymorph in this dataset (meV/atom): 0
Energy of formation (eV/f.u.): 1.62



[24]
A relaxed BaV2Tc crystal, computed with PBE-GGA.

Cell: 4.7613 4.7613 4.7613 Å, 60.00 60.00 60.00°
Site moments in Bohr magnetons follow the coordinates.
Positions (direct):
Ba 0.5000 0.5000 0.5000  0.13
Tc 0.0000 0.0000 0.0000  -0.91
V 0.2500 0.2500 0.2500  1.58
V 0.7500 0.7500 0.7500  1.58

Computed properties:
Magnetic moment (μB/f.u.): 2.79
Energy above the most stable polymorph in this dataset (meV/atom): 57
Energy of formation (eV/f.u.): 4.41



[25]
A relaxed NaNb2GeO8 crystal, computed with PBE-GGA.

Cell: 4.7378 4.7376 6.3967 Å, 89.78 89.78 86.15°
Site moments in Bohr magnetons follow the coordinates.
Positions (direct):
O 0.7953 0.2036 0.7923  0.09
O 0.2934 0.2933 0.9971  0.27
O 0.2047 0.7964 0.2077  0.09
O 0.3201 0.3200 0.4998  0.01
O 0.6799 0.6800 0.5002  0.01
O 0.7066 0.7067 0.0029  0.27
O 0.2036 0.7952 0.7923  0.09
O 0.7964 0.2048 0.2077  0.09
Ge 0.0000 0.0000 0.0000  -0.01
Nb 0.4860 0.4860 0.7413  -0.04
Nb 0.5140 0.5140 0.2587  -0.04
Na 0.0000 0.0000 0.5000  0.00

Computed properties:
Magnetic moment (μB/f.u.): 1.01
Formation energy (no corrections) (eV per atom): -1.990